Computed, not measured: a relaxed GeMoPt crystal at the PBE level of DFT.

a b c (Å): 2.792 3.006 12.935
angles (deg): 90.00 90.00 117.67
Element x y z (fractional)
Mo 0.395 0.790 0.000
Mo 0.483 0.966 0.500
Pt 0.717 0.433 0.834
Pt 0.717 0.433 0.166
Ge 0.178 0.355 0.661
Ge 0.178 0.355 0.339

Values from the calculation:
total magnetic moment: 0.00 μB/f.u.
energy relative to the elements: -0.068 eV/atom
SG: Amm2 (38)

Computed, not measured: a relaxed Ge2MoPt2 crystal at the PBE level of DFT.

a b c (Å): 7.221 7.221 3.035
angles (deg): 90.00 90.00 90.00
Element x y z (fractional)
Mo 0.000 0.000 0.000
Mo 0.500 0.500 0.000
Ge 0.347 0.847 0.000
Ge 0.847 0.653 0.000
Ge 0.653 0.153 0.000
Ge 0.153 0.347 0.000
Pt 0.147 0.647 0.500
Pt 0.647 0.853 0.500
Pt 0.853 0.353 0.500
Pt 0.353 0.147 0.500

Values from the calculation:
total magnetic moment: 0.00 μB/f.u.
energy relative to the elements: -0.068 eV/atom
SG: P4/mbm (127)